Entry 1:
## SnP3O9 (PBEsol)

Data for a geometry-optimized SnP3O9 structure.

Computed properties:
Total magnetic moment, μB per formula unit: 0.0
Electronic total energy, eV per atom: -7.237
ΔE to the lowest computed polymorph, meV per atom: 68
Formation energy (no corrections), meV per atom: -1938

abc: 6.624 6.976 7.762
angles: 83.69 81.16 81.28
Fractional positions:
1 Sn 0.010 0.210 0.152
2 Sn 0.990 0.790 0.848
3 P 0.171 0.154 0.555
4 P 0.182 0.694 0.213
5 P 0.347 0.372 0.787
6 P 0.653 0.628 0.213
7 P 0.818 0.306 0.787
8 P 0.829 0.846 0.445
9 O 0.066 0.746 0.403
10 O 0.117 0.514 0.165
11 O 0.142 0.872 0.081
12 O 0.206 0.966 0.667
13 O 0.212 0.145 0.360
14 O 0.278 0.229 0.935
15 O 0.287 0.588 0.794
16 O 0.296 0.315 0.603
17 O 0.408 0.666 0.257
18 O 0.592 0.334 0.743
19 O 0.704 0.685 0.397
20 O 0.713 0.412 0.206
21 O 0.722 0.771 0.065
22 O 0.788 0.855 0.640
23 O 0.794 0.034 0.333
24 O 0.858 0.128 0.919
25 O 0.883 0.486 0.835
26 O 0.934 0.254 0.597

Entry 2:
## MgAs (PBEsol)

Data for a geometry-optimized MgAs structure.

Computed properties:
Formation enthalpy at 0 K, eV per formula unit: -0.9
Total magnetic moment, μB per formula unit: 0.0
Electronic total energy, eV per atom: -3.844
ΔE to the lowest computed polymorph, meV per atom: 0

abc: 4.110 4.110 5.689
angles: 90.00 90.00 120.00
Fractional positions:
1 Mg 0.333 0.667 0.250
2 Mg 0.667 0.333 0.750
3 As 0.000 0.000 0.000
4 As 0.000 0.000 0.500

Entry 3:
## ZnHgRu2 (PBEsol)

Data for a geometry-optimized ZnHgRu2 structure.

Computed properties:
Formation enthalpy at 0 K, eV per formula unit: 2.0
Total magnetic moment, μB per formula unit: 1.8
Electronic total energy, eV per atom: -5.112

abc: 4.749 4.749 2.846
angles: 90.00 90.00 110.29
Fractional positions:
1 Zn 0.000 0.000 0.000
2 Hg 0.500 0.500 0.000
3 Ru 0.000 0.500 0.500
4 Ru 0.500 0.000 0.500

Entry 4:
## Nb2BrF (PBEsol)

Data for a geometry-optimized Nb2BrF structure.

Computed properties:
Total magnetic moment, μB per formula unit: 0.0
Electronic total energy, eV per atom: -6.651
Formation energy (no corrections), meV per atom: -290

abc: 8.870 8.870 8.870
angles: 153.87 153.87 37.28
Fractional positions:
1 Nb 0.100 0.625 0.975
2 Nb 0.375 0.350 0.475
3 Nb 0.650 0.125 0.025
4 Nb 0.875 0.900 0.525
5 Br 0.250 0.750 0.500
6 Br 0.500 0.500 0.000
7 F 0.000 0.000 0.000
8 F 0.750 0.250 0.500

Entry 5:
## KIr2Rh (PBEsol)

Data for a geometry-optimized KIr2Rh structure.

Computed properties:
Formation enthalpy at 0 K, eV per formula unit: 4.7
Total magnetic moment, μB per formula unit: 0.0
Electronic total energy, eV per atom: -6.043
ΔE to the lowest computed polymorph, meV per atom: 500

abc: 4.952 4.952 4.952
angles: 132.92 132.92 68.78
Fractional positions:
1 K 0.000 0.000 0.000
2 Ir 0.250 0.750 0.500
3 Ir 0.750 0.250 0.500
4 Rh 0.500 0.500 0.000

Entry 6:
## CaMnBe2 (PBEsol)

Data for a geometry-optimized CaMnBe2 structure.

Computed properties:
Formation enthalpy at 0 K, eV per formula unit: 2.2
Total magnetic moment, μB per formula unit: 3.5
Electronic total energy, eV per atom: -4.430

abc: 4.382 4.382 4.382
angles: 60.00 60.00 60.00
Fractional positions:
1 Ca 0.000 0.000 0.000
2 Mn 0.500 0.500 0.500
3 Be 0.250 0.250 0.250
4 Be 0.750 0.750 0.750

Entry 7:
## ScInAs3 (PBEsol)

Data for a geometry-optimized ScInAs3 structure.

Computed properties:
Formation enthalpy at 0 K, eV per formula unit: 3.1
Total magnetic moment, μB per formula unit: 0.0
Electronic total energy, eV per atom: -4.357

abc: 5.060 5.060 5.060
angles: 90.00 90.00 90.00
Fractional positions:
1 Sc 0.000 0.000 0.000
2 In 0.500 0.500 0.500
3 As 0.000 0.500 0.500
4 As 0.500 0.000 0.500
5 As 0.500 0.500 0.000

Entry 8:
## Cd4Cu3 (PBEsol)

Data for a geometry-optimized Cd4Cu3 structure.

Computed properties:
Formation enthalpy at 0 K, eV per formula unit: 0.4
Total magnetic moment, μB per formula unit: 0.0
Electronic total energy, eV per atom: -2.487
ΔE to the lowest computed polymorph, meV per atom: 14

abc: 5.005 5.005 5.237
angles: 90.00 90.00 120.00
Fractional positions:
1 Cd 0.000 0.000 0.250
2 Cd 0.000 0.000 0.750
3 Cd 0.333 0.667 0.000
4 Cd 0.667 0.333 0.000
5 Cu 0.000 0.500 0.500
6 Cu 0.500 0.000 0.500
7 Cu 0.500 0.500 0.500